(1)
Density functional theory data (GGA-PBE) for a relaxed Ge3BW crystal.

Computed properties:
* total moment: 0.00 μB/f.u.
* total energy: -26.90 eV for the cell shown
* ΔE to the lowest computed polymorph: 87.2 meV per atom
* DOS(E_F): 4.08 states/eV/cell

Unit cell a=4.892 b=4.892 c=4.892 alpha=90.00 beta=90.00 gamma=90.00
Space group Pm-3m (No. 221)
Symmetry-distinct sites (fractional):
Ge  0.000  0.000  0.500 x3
B  0.500  0.500  0.500 x1
W  0.000  0.000  0.000 x1



(2)
Density functional theory data (GGA-PBE) for a relaxed Co2BTeMo crystal.

Computed properties:
* total moment: 1.84 μB/f.u.
* total energy: -31.26 eV for the cell shown
* uncorrected formation energy: 721 meV/atom
* DOS(E_F): 6.25 states/eV/cell

Unit cell a=3.849 b=3.849 c=4.722 alpha=90.00 beta=90.00 gamma=90.00
Space group P4/mmm (No. 123)
Symmetry-distinct sites (fractional):
Co  0.000  0.500  0.000 x2
B  0.000  0.000  0.000 x1
Te  0.000  0.000  0.500 x1
Mo  0.500  0.500  0.500 x1



(3)
Density functional theory data (GGA-PBE) for a relaxed TbY3 crystal.

Computed properties:
* total moment: 0.01 μB/f.u.
* total energy: -93.99 eV for the cell shown
* ΔE to the lowest computed polymorph: 129.7 meV per atom
* DOS(E_F): 43.48 states/eV/cell

Unit cell a=8.057 b=8.057 c=8.057 alpha=90.00 beta=90.00 gamma=90.00
Space group Fm-3m (No. 225)
Symmetry-distinct sites (fractional):
Tb  0.000  0.000  0.000 x4
Y  0.000  0.000  0.500 x4
Y  0.250  0.250  0.250 x8



(4)
Density functional theory data (GGA-PBE) for a relaxed LaSm3Ho2Se6 crystal.

Computed properties:
* total moment: 0.00 μB/f.u.
* total energy: -141.85 eV for the cell shown
* uncorrected formation energy: -1815 meV/atom
* DOS(E_F): 11.72 states/eV/cell

Unit cell a=7.187 b=12.498 c=7.205 alpha=90.00 beta=109.54 gamma=90.00
Space group C2/m (No. 12)
Symmetry-distinct sites (fractional):
La  0.000  0.000  0.000 x2
Sm  0.000  0.160  0.500 x4
Sm  0.000  0.500  0.500 x2
Ho  0.000  0.333  0.000 x4
Se  0.234  0.500  0.241 x4
Se  0.244  0.327  0.752 x8



(5)
Density functional theory data (GGA-PBE) for a relaxed FeMoS2Cl crystal.

Computed properties:
* total moment: 6.76 μB/f.u.
* total energy: -26.43 eV for the cell shown
* ΔE to the lowest computed polymorph: 182.5 meV per atom
* uncorrected formation energy: 593 meV/atom
* DOS(E_F): 4.99 states/eV/cell

Unit cell a=4.627 b=4.627 c=4.459 alpha=90.00 beta=90.00 gamma=90.00
Space group P4/mmm (No. 123)
Symmetry-distinct sites (fractional):
Fe  0.000  0.000  0.000 x1
Mo  0.500  0.500  0.500 x1
S  0.000  0.500  0.000 x2
Cl  0.000  0.000  0.500 x1



(6)
Density functional theory data (GGA-PBE) for a relaxed ScRhAu2 crystal.

Computed properties:
* total moment: 0.00 μB/f.u.
* total energy: -88.49 eV for the cell shown
* DOS(E_F): 14.36 states/eV/cell

Unit cell a=6.559 b=6.559 c=6.559 alpha=90.00 beta=90.00 gamma=90.00
Space group Fm-3m (No. 225)
Symmetry-distinct sites (fractional):
Sc  0.000  0.000  0.000 x4
Rh  0.000  0.000  0.500 x4
Au  0.250  0.250  0.250 x8